Here is Tb4AgRh2 after structural relaxation from Alexandria. Energies are from PBE-GGA.

Values from the calculation:
- Space-group type: No. 43

Geometry as extended XYZ:
```
14
Lattice="0.000 6.456 4.332 6.054 0.000 4.332 6.054 6.456 0.000" Properties=species:S:1:pos:R:3 pbc="T T T"
Tb 6.830 1.485 4.332
Tb 3.803 1.743 2.166
Tb 7.636 5.788 3.049
Tb 2.251 4.714 2.166
Tb 4.609 3.896 5.215
Tb 4.471 7.125 3.049
Tb 7.498 9.016 5.215
Tb 5.277 11.427 4.332
Ag 6.054 6.456 5.777
Ag 9.080 9.685 7.942
Rh 5.363 4.069 2.580
Rh 9.771 7.298 4.746
Rh 6.744 8.843 2.580
Rh 2.336 5.615 4.746
```



Here is Tb5AgRh2 after structural relaxation from Alexandria. Energies are from PBE-GGA.

Values from the calculation:
- Space-group type: No. 140

Geometry as extended XYZ:
```
16
Lattice="-3.875 3.875 6.682 3.875 -3.875 6.682 3.875 3.875 -6.682" Properties=species:S:1:pos:R:3 pbc="T T T"
Tb 0.000 0.000 0.000
Tb 5.117 1.242 -1.828
Tb 1.242 2.633 -1.828
Tb 5.117 1.242 1.828
Tb 1.242 2.633 1.828
Tb 0.000 0.000 6.682
Tb 2.633 1.242 4.854
Tb -1.242 2.633 4.854
Tb 2.633 1.242 8.511
Tb -1.242 2.633 8.511
Ag 0.000 0.000 3.341
Ag 0.000 0.000 10.024
Rh 2.794 1.082 0.000
Rh 2.794 -1.082 6.682
Rh 1.082 4.957 0.000
Rh 1.082 2.794 6.682
```



Here is TbAgRh2 after structural relaxation from Alexandria. Energies are from PBE-GGA.

Values from the calculation:
- Space-group type: No. 123

Geometry as extended XYZ:
```
4
Lattice="4.202 0.000 0.000 0.000 4.202 0.000 0.000 0.000 3.990" Properties=species:S:1:pos:R:3 pbc="T T T"
Tb 0.000 0.000 0.000
Ag 2.101 2.101 0.000
Rh 0.000 2.101 1.995
Rh 2.101 0.000 1.995
```



Here is Tb3Ag2Rh2 after structural relaxation from Alexandria. Energies are from PBE-GGA.

Values from the calculation:
- Space-group type: No. 12

Geometry as extended XYZ:
```
14
Lattice="8.383 0.000 0.000 0.000 4.857 0.000 -2.770 0.000 8.398" Properties=species:S:1:pos:R:3 pbc="T T T"
Tb 0.000 0.000 0.000
Tb 0.015 0.000 5.470
Tb 1.407 2.428 2.927
Tb 4.192 2.428 0.000
Tb 4.206 2.428 5.470
Tb 5.599 0.000 2.927
Ag -1.374 2.428 6.871
Ag 2.796 0.000 1.527
Ag 2.817 0.000 6.871
Ag 6.988 2.428 1.527
Rh 0.006 0.000 2.663
Rh 1.416 2.428 5.735
Rh 4.197 2.428 2.663
Rh 5.608 0.000 5.735
```



Here is Tb3Ag2Rh after structural relaxation from Alexandria. Energies are from PBE-GGA.

Values from the calculation:
- Space-group type: No. 15

Geometry as extended XYZ:
```
12
Lattice="7.042 -2.907 0.000 7.042 2.907 0.000 -2.206 0.000 7.582" Properties=species:S:1:pos:R:3 pbc="T T T"
Tb 5.388 2.902 5.686
Tb 3.018 0.010 7.053
Tb 4.121 -0.010 3.262
Tb 7.757 0.010 4.320
Tb 8.861 -0.010 0.529
Tb 6.491 -2.902 1.895
Ag 1.258 0.011 4.480
Ag 2.361 -0.011 0.689
Ag 9.517 0.011 6.893
Ag 10.620 -0.011 3.102
Rh 6.491 0.006 1.895
Rh 5.388 -0.006 5.686
```



Here is Tb4AgRh after structural relaxation from Alexandria. Energies are from PBE-GGA.

Values from the calculation:
- Space-group type: No. 109

Geometry as extended XYZ:
```
12
Lattice="-4.757 4.757 4.205 4.757 -4.757 4.205 4.757 4.757 -4.205" Properties=species:S:1:pos:R:3 pbc="T T T"
Tb 4.757 1.853 -0.305
Tb 2.903 4.757 -2.407
Tb 1.853 0.000 1.798
Tb 0.000 2.790 0.000
Tb 0.000 6.723 0.000
Tb 2.790 4.757 2.102
Tb 1.967 0.000 6.307
Tb 0.000 2.903 3.900
Ag 4.757 0.000 1.978
Ag 0.000 0.000 4.081
Rh 0.000 4.757 1.919
Rh 0.000 0.000 8.227
```



Here is Tb4Ag3Rh after structural relaxation from Alexandria. Energies are from PBE-GGA.

Values from the calculation:
- Space-group type: No. 123

Geometry as extended XYZ:
```
8
Lattice="3.570 0.000 0.000 0.000 3.570 0.000 0.000 0.000 14.608" Properties=species:S:1:pos:R:3 pbc="T T T"
Tb 0.000 0.000 1.646
Tb 0.000 0.000 5.413
Tb 0.000 0.000 9.195
Tb 0.000 0.000 12.962
Ag 1.785 1.785 3.571
Ag 1.785 1.785 7.304
Ag 1.785 1.785 11.037
Rh 1.785 1.785 0.000
```



Here is Tb6AgRh after structural relaxation from Alexandria. Energies are from PBE-GGA.

Values from the calculation:
- Space-group type: No. 2

Geometry as extended XYZ:
```
8
Lattice="6.755 0.000 0.000 -3.375 5.855 0.000 -3.372 -1.951 6.410" Properties=species:S:1:pos:R:3 pbc="T T T"
Tb -0.974 -0.038 1.636
Tb -1.230 3.793 1.635
Tb -2.207 1.801 4.774
Tb 2.215 2.103 1.636
Tb 1.238 0.111 4.774
Tb 0.982 3.941 4.774
Ag 3.378 0.000 0.000
Rh 0.004 1.952 3.205
```



Here is Tb8AgRh5 after structural relaxation from Alexandria. Energies are from PBE-GGA.

Values from the calculation:
- Space-group type: No. 82

Geometry as extended XYZ:
```
14
Lattice="-4.365 4.365 4.314 4.365 -4.365 4.314 4.365 4.365 -4.314" Properties=species:S:1:pos:R:3 pbc="T T T"
Tb 1.556 -0.580 1.579
Tb 3.849 1.686 -0.609
Tb 2.809 4.945 -2.735
Tb 2.679 -0.516 4.923
Tb 1.686 4.881 0.609
Tb 3.785 2.809 2.735
Tb 0.516 2.679 3.705
Tb 0.580 1.556 7.049
Ag 4.365 0.000 2.157
Rh 6.580 1.146 -1.065
Rh 1.146 2.150 1.065
Rh 0.000 0.000 4.314
Rh -2.215 3.219 3.249
Rh 3.219 2.215 5.378
```



Here is TbAgRh after structural relaxation from Alexandria. Energies are from PBE-GGA.

Values from the calculation:
- Space-group type: No. 63

Geometry as extended XYZ:
```
12
Lattice="3.661 0.000 0.000 0.000 17.352 0.000 0.000 0.000 3.945" Properties=species:S:1:pos:R:3 pbc="T T T"
Tb 0.000 1.732 0.986
Tb 0.000 15.620 2.959
Tb 1.830 6.944 2.959
Tb 1.830 10.408 0.986
Ag 0.000 4.982 0.986
Ag 0.000 12.370 2.959
Ag 1.830 3.694 2.959
Ag 1.830 13.658 0.986
Rh 0.000 7.799 0.986
Rh 0.000 9.553 2.959
Rh 1.830 0.877 2.959
Rh 1.830 16.475 0.986
```



Here is Tb11Ag9Rh4 after structural relaxation from Alexandria. Energies are from PBE-GGA.

Values from the calculation:
- Space-group type: No. 65

Geometry as extended XYZ:
```
24
Lattice="7.081 -10.614 0.000 7.081 10.614 0.000 0.000 0.000 3.656" Properties=species:S:1:pos:R:3 pbc="T T T"
Tb 0.000 0.000 0.000
Tb 3.506 3.564 0.000
Tb 7.081 7.087 0.000
Tb 4.183 0.000 0.000
Tb 7.081 2.831 0.000
Tb 3.506 -3.564 0.000
Tb 10.655 3.564 0.000
Tb 7.081 -2.831 0.000
Tb 9.979 0.000 0.000
Tb 7.081 -7.087 0.000
Tb 10.655 -3.564 0.000
Ag 1.939 1.580 1.828
Ag 5.557 5.082 1.828
Ag 1.939 -1.580 1.828
Ag 8.604 5.082 1.828
Ag 7.081 0.000 1.828
Ag 5.557 -5.082 1.828
Ag 12.222 1.580 1.828
Ag 8.604 -5.082 1.828
Ag 12.222 -1.580 1.828
Rh 5.001 2.057 1.828
Rh 5.001 -2.057 1.828
Rh 9.160 2.057 1.828
Rh 9.160 -2.057 1.828
```



Here is Tb3AgRh8 after structural relaxation from Alexandria. Energies are from PBE-GGA.

Values from the calculation:
- Space-group type: No. 160

Geometry as extended XYZ:
```
12
Lattice="2.650 1.530 8.696 -2.650 1.530 8.696 0.000 -3.059 8.696" Properties=species:S:1:pos:R:3 pbc="T T T"
Tb 0.000 0.000 0.000
Tb 0.000 0.000 3.386
Tb 0.000 0.000 16.092
Ag 0.000 0.000 12.932
Rh 0.000 -1.537 5.961
Rh -1.327 -0.766 10.305
Rh -1.331 0.768 5.961
Rh 0.000 0.000 8.133
Rh 1.327 -0.766 10.305
Rh 0.000 1.532 10.305
Rh 1.331 0.768 5.961
Rh 0.000 0.000 21.178
```



Here is Tb6Ag2Rh after structural relaxation from Alexandria. Energies are from PBE-GGA.

Values from the calculation:
- Space-group type: No. 14

Geometry as extended XYZ:
```
18
Lattice="6.667 0.000 0.000 0.000 7.494 0.000 -5.956 0.000 10.123" Properties=species:S:1:pos:R:3 pbc="T T T"
Tb -0.725 0.143 2.526
Tb -3.703 3.603 7.588
Tb 1.039 5.131 0.611
Tb -1.939 6.109 5.673
Tb 2.171 1.341 0.506
Tb -0.807 2.406 5.567
Tb 1.518 5.087 4.556
Tb -1.460 6.153 9.618
Tb 2.650 1.385 4.450
Tb -0.328 2.362 9.512
Tb 4.414 3.890 2.536
Tb 1.436 7.350 7.598
Ag -2.368 0.841 7.639
Ag 0.610 2.906 2.577
Ag 0.101 4.588 7.547
Ag 3.079 6.653 2.485
Rh 0.356 0.000 5.062
Rh 3.334 3.747 0.000
```



Here is Tb4AgRh2 after structural relaxation from Alexandria. Energies are from PBE-GGA.

Values from the calculation:
- Space-group type: No. 123

Geometry as extended XYZ:
```
7
Lattice="4.934 0.000 0.000 0.000 4.934 0.000 0.000 0.000 6.934" Properties=species:S:1:pos:R:3 pbc="T T T"
Tb 0.000 2.467 1.701
Tb 0.000 2.467 5.232
Tb 2.467 0.000 1.701
Tb 2.467 0.000 5.232
Ag 0.000 0.000 3.467
Rh 0.000 0.000 0.000
Rh 2.467 2.467 3.467
```



Here is TbAgRh after structural relaxation from Alexandria. Energies are from PBE-GGA.

Values from the calculation:
- Space-group type: No. 69

Geometry as extended XYZ:
```
12
Lattice="0.000 6.987 7.542 2.570 0.000 7.542 2.570 6.987 0.000" Properties=species:S:1:pos:R:3 pbc="T T T"
Tb 2.570 1.965 5.570
Tb 2.570 1.965 9.513
Tb 2.570 12.009 5.570
Tb 2.570 12.009 9.513
Ag 2.570 4.493 7.542
Ag 2.570 6.987 6.042
Ag 2.570 6.987 9.042
Ag 2.570 9.481 7.542
Rh 2.570 4.540 4.703
Rh 2.570 9.434 4.703
Rh 2.570 4.540 10.380
Rh 2.570 9.434 10.380
```



Here is Tb4Ag2Rh after structural relaxation from Alexandria. Energies are from PBE-GGA.

Values from the calculation:
- Space-group type: No. 166

Geometry as extended XYZ:
```
7
Lattice="2.523 1.457 8.182 -2.523 1.457 8.182 0.000 -2.913 8.182" Properties=species:S:1:pos:R:3 pbc="T T T"
Tb 0.000 0.000 2.972
Tb 0.000 0.000 9.131
Tb 0.000 0.000 15.416
Tb 0.000 0.000 21.575
Ag 0.000 0.000 6.054
Ag 0.000 0.000 18.493
Rh 0.000 0.000 0.000
```



Here is Tb6AgRh5 after structural relaxation from Alexandria. Energies are from PBE-GGA.

Values from the calculation:
- Space-group type: No. 12

Geometry as extended XYZ:
```
12
Lattice="3.593 -5.461 0.000 3.593 5.461 0.000 -1.697 0.000 6.972" Properties=species:S:1:pos:R:3 pbc="T T T"
Tb 0.361 1.959 4.988
Tb 1.066 0.000 1.466
Tb 0.361 -1.959 4.988
Tb 5.128 1.959 1.984
Tb 4.423 0.000 5.506
Tb 5.128 -1.959 1.984
Ag 3.593 0.000 0.000
Rh -0.848 0.000 3.486
Rh 3.593 3.187 0.000
Rh 2.745 1.372 3.486
Rh 2.745 -1.372 3.486
Rh 3.593 -3.187 0.000
```



Here is Tb7Ag2Rh2 after structural relaxation from Alexandria. Energies are from PBE-GGA.

Values from the calculation:
- Space-group type: No. 44

Geometry as extended XYZ:
```
11
Lattice="-1.896 7.882 4.842 1.896 -7.882 4.842 1.896 7.882 -4.842" Properties=species:S:1:pos:R:3 pbc="T T T"
Tb 0.000 0.000 0.000
Tb 1.896 2.889 -1.140
Tb 1.896 -2.247 2.283
Tb 1.896 2.247 2.283
Tb 1.896 5.924 0.769
Tb 0.000 4.994 3.702
Tb 0.000 1.958 5.611
Ag 0.000 0.000 3.215
Ag 0.000 7.882 2.323
Rh 0.000 3.820 0.810
Rh 0.000 11.945 0.810
```



Here is TbTh2AgRh5 after structural relaxation from Alexandria. Energies are from PBE-GGA.

Values from the calculation:
- Space-group type: No. 140

Geometry as extended XYZ:
```
18
Lattice="-4.154 4.154 5.586 4.154 -4.154 5.586 4.154 4.154 -5.586" Properties=species:S:1:pos:R:3 pbc="T T T"
Tb 0.000 0.000 2.793
Tb 0.000 0.000 8.380
Th 5.313 1.159 0.000
Th 1.159 2.995 0.000
Th 2.995 1.159 5.586
Th -1.159 2.995 5.586
Ag 4.154 0.000 2.793
Ag 0.000 4.154 2.793
Rh 0.000 0.000 0.000
Rh 2.548 1.606 -1.528
Rh 2.548 -1.606 4.058
Rh 2.548 1.606 1.528
Rh 2.548 -1.606 7.114
Rh 0.000 0.000 5.586
Rh 1.606 5.760 -1.528
Rh 1.606 2.548 4.058
Rh 1.606 5.760 1.528
Rh 1.606 2.548 7.114
```



Here is TbThAgRh after structural relaxation from Alexandria. Energies are from PBE-GGA.

Values from the calculation:
- Space-group type: No. 216

Geometry as extended XYZ:
```
16
Lattice="7.210 0.000 0.000 0.000 7.210 0.000 0.000 0.000 7.210" Properties=species:S:1:pos:R:3 pbc="T T T"
Tb 0.000 0.000 0.000
Tb 0.000 3.605 3.605
Tb 3.605 0.000 3.605
Tb 3.605 3.605 0.000
Th 0.000 0.000 3.605
Th 0.000 3.605 0.000
Th 3.605 0.000 0.000
Th 3.605 3.605 3.605
Ag 1.803 1.803 1.803
Ag 1.803 5.408 5.408
Ag 5.408 1.803 5.408
Ag 5.408 5.408 1.803
Rh 1.803 1.803 5.408
Rh 1.803 5.408 1.803
Rh 5.408 1.803 1.803
Rh 5.408 5.408 5.408
```



Here is Tb5Tl2AgRh2 after structural relaxation from Alexandria. Energies are from PBE-GGA.

Values from the calculation:
- Space-group type: No. 127

Geometry as extended XYZ:
```
20
Lattice="11.787 0.000 0.000 0.000 11.787 0.000 0.000 0.000 3.668" Properties=species:S:1:pos:R:3 pbc="T T T"
Tb 0.000 5.894 0.000
Tb 0.916 2.382 0.000
Tb 2.382 10.871 0.000
Tb 3.511 4.977 0.000
Tb 4.977 8.276 0.000
Tb 5.894 0.000 0.000
Tb 6.810 3.511 0.000
Tb 8.276 6.810 0.000
Tb 9.405 0.916 0.000
Tb 10.871 9.405 0.000
Tl 2.031 7.925 1.834
Tl 3.862 2.031 1.834
Tl 7.925 9.756 1.834
Tl 9.756 3.862 1.834
Ag 0.000 0.000 1.834
Ag 5.894 5.894 1.834
Rh 1.570 4.324 1.834
Rh 4.324 10.217 1.834
Rh 7.463 1.570 1.834
Rh 10.217 7.463 1.834
```



One value per record, in order, for ΔE_f: -4.0 -4.5 -1.6 -2.9 -2.0 -1.1 -3.6 -0.9 -9.3 -1.5 -11.7 -6.6 -2.4 -3.8 -0.9 -2.2 -7.1 -4.7 -2.7 -1.8 -5.2 eV per formula unit.